# 1
LaZr2Ag SCAN single point on PBEsol structure; formation energy = -20.7 kJ/mol of formula units; total energy = -136.1 eV/cell; polymorph energy (0 for the lowest one) = 0.000 eV per atom; Fermi-level density of states = 0.858 states/eV/atom; SG = No. 99
1.0
3.2778 0.0000 0.0000
0.0000 3.2778 0.0000
0.0000 0.0000 8.7890
Zr Ag La
2 1 1
Cartesian
0.0000 0.0000 0.2918 Zr
1.6389 1.6389 2.3254 Zr
0.0000 0.0000 4.1257 Ag
1.6389 1.6389 6.4406 La

# 2
LaZrAg2 SCAN single point on PBEsol structure; formation energy = -14.4 kJ/mol of formula units; total energy = -136.7 eV/cell; Fermi-level density of states = 0.957 states/eV/atom; SG = No. 225
1.0
-4.6944 1.8713 0.0827
-3.9434 -3.0264 -0.9145
-3.1518 -1.2467 3.7494
Ag La Zr
2 1 1
Cartesian
-2.9474 -0.6005 0.7294 Ag
-8.8422 -1.8014 2.1882 Ag
0.0000 0.0000 0.0000 La
-5.8948 -1.2009 1.4588 Zr

# 3
La2ZrAg SCAN single point on PBEsol structure; formation energy = 56.6 kJ/mol of formula units; total energy = -147.7 eV/cell; polymorph energy (0 for the lowest one) = 0.120 eV per atom; Fermi-level density of states = 1.071 states/eV/atom; SG = No. 216
1.0
5.1507 0.0000 0.0000
2.5754 4.4607 0.0000
2.5754 1.4869 4.2056
Ag La Zr
1 2 1
Cartesian
5.1507 2.9738 2.1028 Ag
0.0000 0.0000 0.0000 La
2.5754 1.4869 1.0514 La
7.7261 4.4607 3.1542 Zr

# 4
La2ZrAg SCAN single point on PBEsol structure; formation energy = 10.4 kJ/mol of formula units; total energy = -148.2 eV/cell; polymorph energy (0 for the lowest one) = 0.000 eV per atom; Fermi-level density of states = 1.011 states/eV/atom; SG = No. 65
1.0
-1.0075 -3.1996 0.3864
4.5122 -1.7537 -2.7561
2.7972 -0.3002 4.8080
Ag La Zr
1 2 1
Cartesian
3.1509 -2.6268 1.2192 Ag
2.2561 -0.8769 -1.3780 La
1.3986 -0.1501 2.4040 La
-0.5038 -1.5998 0.1932 Zr

# 5
LiAg8 SCAN single point on PBEsol structure; formation energy = -47.7 kJ/mol of formula units; total energy = -253.8 eV/cell; Fermi-level density of states = 0.256 states/eV/atom; SG = No. 139
1.0
-3.8613 -0.8935 -0.7549
-2.8735 -1.3501 5.5149
-3.4046 5.3689 0.2783
Ag Li
8 1
Cartesian
-2.4168 1.4713 -0.1612 Ag
-4.8491 3.0041 -0.3154 Ag
-4.6622 0.7343 1.4150 Ag
-2.2416 -0.7447 1.5659 Ag
-3.2286 3.1424 2.0136 Ag
-4.4932 -1.4989 3.1941 Ag
-5.4772 2.3910 3.6233 Ag
-3.0495 0.8765 3.7796 Ag
0.0000 0.0000 0.0000 Li

# 6
Li7Ag SCAN single point on PBEsol structure; formation energy = -49.5 kJ/mol of formula units; total energy = -48.6 eV/cell; Fermi-level density of states = 0.313 states/eV/atom; SG = No. 225
1.0
5.8264 0.0000 0.0000
2.9132 5.0458 0.0000
2.9132 1.6819 4.7573
Ag Li
1 7
Cartesian
0.0000 0.0000 0.0000 Ag
1.4566 0.8410 2.3786 Li
1.4566 2.5229 0.0000 Li
2.9132 0.0000 0.0000 Li
4.3698 2.5229 0.0000 Li
4.3698 0.8410 2.3786 Li
2.9132 3.3639 2.3786 Li
5.8264 3.3639 2.3786 Li

# 7
Li8Ag SCAN single point on PBEsol structure; formation energy = -61.2 kJ/mol of formula units; total energy = -51.1 eV/cell; Fermi-level density of states = 0.417 states/eV/atom; SG = No. 139
1.0
-2.1316 2.6070 -2.7286
-6.0813 -2.1465 -0.7423
-2.8636 4.7669 3.3492
Ag Li
1 8
Cartesian
0.0000 0.0000 0.0000 Ag
-1.6332 2.3966 0.1234 Li
-3.3620 4.9773 0.4972 Li
-4.3351 2.6113 -1.0031 Li
-2.6488 0.2146 -1.1680 Li
-3.9043 2.5310 2.0259 Li
-5.5642 0.2459 -2.3030 Li
-6.7414 2.6161 0.8813 Li
-5.0407 0.0894 0.5809 Li

# 8
Li5Ag SCAN single point on PBEsol structure; formation energy = -48.1 kJ/mol of formula units; total energy = -43.8 eV/cell; Fermi-level density of states = 0.332 states/eV/atom; SG = No. 38
1.0
-1.3975 -0.5834 2.4821
-0.8188 -4.3908 -1.4930
7.2717 -2.0087 1.9191
Ag Li
1 5
Cartesian
0.0282 -0.0099 0.0136 Ag
4.5602 -1.5959 2.1925 Li
1.4030 -1.0272 2.2515 Li
5.4836 -4.2577 2.0867 Li
2.4917 -3.7469 2.2253 Li
0.9355 -2.6661 -0.0999 Li

# 9
Li2Ag SCAN single point on PBEsol structure; formation energy = -50.8 kJ/mol of formula units; total energy = -36.7 eV/cell; Fermi-level density of states = 0.297 states/eV/atom; SG = No. 191
1.0
-0.1831 -0.4788 -2.7197
2.6096 -3.5261 0.4451
-4.3724 -0.4324 0.3704
Ag Li
1 2
Cartesian
-0.0915 -0.2394 -1.3599 Ag
-2.0450 -1.4636 0.3953 Li
0.2823 -2.4949 0.4202 Li

# 10
Li2Ag SCAN single point on PBEsol structure; formation energy = -44.2 kJ/mol of formula units; total energy = -73.2 eV/cell; Fermi-level density of states = 0.285 states/eV/atom; SG = No. 140
1.0
5.2303 -0.0533 0.0000
-2.3495 4.6732 0.0000
-1.4404 -2.3099 4.4664
Ag Li
2 4
Cartesian
0.7202 1.1550 0.0000 Ag
2.1606 3.4649 0.0000 Ag
-0.4545 3.4916 0.7456 Li
1.8949 -1.1816 3.7207 Li
2.0731 1.9154 2.2332 Li
-0.6327 0.3945 2.2332 Li

# 11
Li2Ag SCAN single point on PBEsol structure; formation energy = -25.7 kJ/mol of formula units; total energy = -36.4 eV/cell; Fermi-level density of states = 0.384 states/eV/atom; SG = No. 164
1.0
-1.7053 0.2369 -2.3466
2.0119 -2.0990 0.1309
-4.5560 -4.1869 2.8880
Ag Li
1 2
Cartesian
0.0000 0.0000 0.0000 Ag
-1.8986 -1.8581 -0.6128 Li
-2.3507 -4.1908 1.2851 Li

# 12
Li4Ag5 SCAN single point on PBEsol structure; formation energy = -133.1 kJ/mol of formula units; total energy = -167.8 eV/cell; polymorph energy (0 for the lowest one) = 0.000 eV per atom; Fermi-level density of states = 0.302 states/eV/atom; SG = No. 139
1.0
4.0410 0.0000 0.0000
2.0205 5.9731 0.0000
2.0205 0.0000 5.9731
Ag Li
5 4
Cartesian
0.0000 0.0000 0.0000 Ag
4.0410 0.0000 3.9520 Ag
2.0205 0.0000 2.0211 Ag
4.0410 3.9520 0.0000 Ag
2.0205 2.0211 0.0000 Ag
2.0205 4.0810 1.8920 Li
2.0205 1.8920 4.0810 Li
4.0410 1.8920 1.8920 Li
4.0410 4.0810 4.0810 Li